# PBE Ac5Dy3Sc12, optimized geometry
# - volume (Å³ per atom) = 40.90
# - energy of formation from the pure elements (eV/atom) = 1.00
# - calculated total energy (eV/atom) = -4.516
data_Ac5Dy3Sc12
_chemical_formula_sum 'Ac40 Dy24 Sc96'
_cell_length_a 18.704
_cell_length_b 18.704
_cell_length_c 18.704
_cell_angle_alpha 90.00
_cell_angle_beta 90.00
_cell_angle_gamma 90.00
_space_group_name_H-M_alt 'I a -3 d'
_space_group_IT_number 230
_space_group_name_Hall '-I 4bd 2c 3'
loop_
_atom_site_label
_atom_site_type_symbol
_atom_site_fract_x
_atom_site_fract_y
_atom_site_fract_z
Ac1 Ac 0.000 0.000 0.000
Ac2 Ac 0.000 0.250 0.375
Dy1 Dy 0.000 0.250 0.125
Sc1 Sc 0.010 0.084 0.149